Entry 1:
# Na2CaAlF8

A geometry-optimized Na2CaAlF8 structure (PBE-GGA, Alexandria).

```
data_Na2CaAlF8
_cell_length_a 4.904
_cell_length_b 6.680
_cell_length_c 5.001
_cell_angle_alpha 90.00
_cell_angle_beta 90.39
_cell_angle_gamma 90.00
_space_group_name_H-M_alt 'P 1'
_space_group_IT_number 1
loop_
_space_group_symop_operation_xyz
'x,y,z'
loop_
_atom_site_label
_atom_site_type_symbol
_atom_site_fract_x
_atom_site_fract_y
_atom_site_fract_z
_atom_site_occupancy
Na1 Na 0.000 0.228 0.000 1
Na2 Na 0.000 0.772 0.000 1
Ca1 Ca 0.500 0.500 0.500 1
Al1 Al 0.500 0.000 0.500 1
F1 F 0.106 0.500 0.261 1
F2 F 0.199 0.000 0.288 1
F3 F 0.363 0.203 0.710 1
F4 F 0.363 0.797 0.710 1
F5 F 0.637 0.203 0.290 1
F6 F 0.637 0.797 0.290 1
F7 F 0.801 0.000 0.712 1
F8 F 0.894 0.500 0.739 1
```

## Properties
Space group: P2/m, No. 10
ΔE_f (raw) in meV per atom: -3049.4
Calculated volume in Å³/atom: 13.65

***

Entry 2:
# RbTiZnSn2

A geometry-optimized RbTiZnSn2 structure (PBE-GGA, Alexandria).

```
data_RbTiZnSn2
_cell_length_a 5.865
_cell_length_b 5.865
_cell_length_c 5.394
_cell_angle_alpha 90.00
_cell_angle_beta 90.00
_cell_angle_gamma 90.00
_space_group_name_H-M_alt 'P 1'
_space_group_IT_number 1
loop_
_space_group_symop_operation_xyz
'x,y,z'
loop_
_atom_site_label
_atom_site_type_symbol
_atom_site_fract_x
_atom_site_fract_y
_atom_site_fract_z
_atom_site_occupancy
Rb1 Rb 0.000 0.000 0.000 1
Ti1 Ti 0.500 0.500 0.500 1
Zn1 Zn 0.000 0.000 0.500 1
Sn1 Sn 0.000 0.500 0.000 1
Sn2 Sn 0.500 0.000 0.000 1
```

## Properties
Space group: P4/mmm, No. 123
ΔH_f (0 K) in eV per atom: 1.698
Calculated volume in Å³/atom: 37.11

***

Entry 3:
# Pm5InIr

A geometry-optimized Pm5InIr structure (PBE-GGA, Alexandria).

```
data_Pm5InIr
_cell_length_a 6.140
_cell_length_b 6.140
_cell_length_c 11.871
_cell_angle_alpha 102.01
_cell_angle_beta 102.01
_cell_angle_gamma 78.56
_space_group_name_H-M_alt 'P 1'
_space_group_IT_number 1
loop_
_space_group_symop_operation_xyz
'x,y,z'
loop_
_atom_site_label
_atom_site_type_symbol
_atom_site_fract_x
_atom_site_fract_y
_atom_site_fract_z
_atom_site_occupancy
Pm1 Pm 0.007 0.993 0.750 1
Pm2 Pm 0.070 0.428 0.128 1
Pm3 Pm 0.215 0.548 0.445 1
Pm4 Pm 0.428 0.070 0.628 1
Pm5 Pm 0.452 0.785 0.055 1
Pm6 Pm 0.548 0.215 0.945 1
Pm7 Pm 0.572 0.930 0.372 1
Pm8 Pm 0.785 0.452 0.555 1
Pm9 Pm 0.930 0.572 0.872 1
Pm10 Pm 0.993 0.007 0.250 1
In1 In 0.414 0.586 0.750 1
In2 In 0.586 0.414 0.250 1
Ir1 Ir 0.000 0.000 0.000 1
Ir2 Ir 0.000 0.000 0.500 1
```

## Properties
Space group: C2/c, No. 15
ΔH_f (0 K) in eV per atom: -0.270
Calculated volume in Å³/atom: 30.18

***

Entry 4:
# TaCuIr

A geometry-optimized TaCuIr structure (PBE-GGA, Alexandria).

```
data_TaCuIr
_cell_length_a 5.996
_cell_length_b 5.996
_cell_length_c 5.996
_cell_angle_alpha 90.00
_cell_angle_beta 90.00
_cell_angle_gamma 90.00
_space_group_name_H-M_alt 'P 1'
_space_group_IT_number 1
loop_
_space_group_symop_operation_xyz
'x,y,z'
loop_
_atom_site_label
_atom_site_type_symbol
_atom_site_fract_x
_atom_site_fract_y
_atom_site_fract_z
_atom_site_occupancy
Ta1 Ta 0.000 0.000 0.000 1
Ta2 Ta 0.000 0.500 0.500 1
Ta3 Ta 0.500 0.000 0.500 1
Ta4 Ta 0.500 0.500 0.000 1
Cu1 Cu 0.250 0.250 0.250 1
Cu2 Cu 0.250 0.750 0.750 1
Cu3 Cu 0.750 0.250 0.750 1
Cu4 Cu 0.750 0.750 0.250 1
Ir1 Ir 0.250 0.250 0.750 1
Ir2 Ir 0.250 0.750 0.250 1
Ir3 Ir 0.750 0.250 0.250 1
Ir4 Ir 0.750 0.750 0.750 1
```

## Properties
Space group: F-43m, No. 216
ΔH_f (0 K) in eV per atom: 0.227
Calculated volume in Å³/atom: 17.96
Offset from the most stable computed form in meV/atom: 577

***

Entry 5:
# TbYGa2

A geometry-optimized TbYGa2 structure (PBE-GGA, Alexandria).

```
data_TbYGa2
_cell_length_a 3.583
_cell_length_b 3.583
_cell_length_c 7.177
_cell_angle_alpha 90.00
_cell_angle_beta 90.00
_cell_angle_gamma 90.00
_space_group_name_H-M_alt 'P 1'
_space_group_IT_number 1
loop_
_space_group_symop_operation_xyz
'x,y,z'
loop_
_atom_site_label
_atom_site_type_symbol
_atom_site_fract_x
_atom_site_fract_y
_atom_site_fract_z
_atom_site_occupancy
Tb1 Tb 0.000 0.000 0.000 1
Y1 Y 0.000 0.000 0.500 1
Ga1 Ga 0.500 0.500 0.251 1
Ga2 Ga 0.500 0.500 0.749 1
```

## Properties
Space group: P4/mmm, No. 123
ΔH_f (0 K) in eV per atom: -0.598
Calculated volume in Å³/atom: 23.04

***

Entry 6:
# CeZrNp2N4

A geometry-optimized CeZrNp2N4 structure (PBE-GGA, Alexandria).

```
data_CeZrNp2N4
_cell_length_a 5.901
_cell_length_b 3.410
_cell_length_c 5.986
_cell_angle_alpha 90.00
_cell_angle_beta 109.18
_cell_angle_gamma 90.00
_space_group_name_H-M_alt 'P 1'
_space_group_IT_number 1
loop_
_space_group_symop_operation_xyz
'x,y,z'
loop_
_atom_site_label
_atom_site_type_symbol
_atom_site_fract_x
_atom_site_fract_y
_atom_site_fract_z
_atom_site_occupancy
Ce1 Ce 0.000 0.000 0.000 1
Zr1 Zr 0.000 0.500 0.500 1
Np1 Np 0.500 0.000 0.500 1
Np2 Np 0.500 0.500 0.000 1
N1 N 0.249 0.000 0.732 1
N2 N 0.259 0.500 0.273 1
N3 N 0.741 0.500 0.727 1
N4 N 0.751 0.000 0.268 1
```

## Properties
Space group: P2/m, No. 10
ΔE_f (raw) in meV per atom: -1360.2
Calculated volume in Å³/atom: 14.22

***

Entry 7:
# AlRh2Cl

A geometry-optimized AlRh2Cl structure (PBE-GGA, Alexandria).

```
data_AlRh2Cl
_cell_length_a 2.923
_cell_length_b 2.923
_cell_length_c 7.352
_cell_angle_alpha 90.00
_cell_angle_beta 90.00
_cell_angle_gamma 90.00
_space_group_name_H-M_alt 'P 1'
_space_group_IT_number 1
loop_
_space_group_symop_operation_xyz
'x,y,z'
loop_
_atom_site_label
_atom_site_type_symbol
_atom_site_fract_x
_atom_site_fract_y
_atom_site_fract_z
_atom_site_occupancy
Al1 Al 0.000 0.000 0.000 1
Rh1 Rh 0.000 0.000 0.551 1
Rh2 Rh 0.500 0.500 0.802 1
Cl1 Cl 0.500 0.500 0.271 1
```

## Properties
Space group: P4mm, No. 99
ΔE_f (raw) in meV per atom: -84.6
Calculated volume in Å³/atom: 15.70
Offset from the most stable computed form in meV/atom: 346

***

Entry 8:
# Ti5Mn4Ir

A geometry-optimized Ti5Mn4Ir structure (PBE-GGA, Alexandria).

```
data_Ti5Mn4Ir
_cell_length_a 3.001
_cell_length_b 3.001
_cell_length_c 15.129
_cell_angle_alpha 90.00
_cell_angle_beta 90.00
_cell_angle_gamma 90.00
_space_group_name_H-M_alt 'P 1'
_space_group_IT_number 1
loop_
_space_group_symop_operation_xyz
'x,y,z'
loop_
_atom_site_label
_atom_site_type_symbol
_atom_site_fract_x
_atom_site_fract_y
_atom_site_fract_z
_atom_site_occupancy
Ti1 Ti 0.000 0.000 0.000 1
Ti2 Ti 0.000 0.000 0.198 1
Ti3 Ti 0.000 0.000 0.390 1
Ti4 Ti 0.000 0.000 0.610 1
Ti5 Ti 0.000 0.000 0.802 1
Mn1 Mn 0.500 0.500 0.098 1
Mn2 Mn 0.500 0.500 0.297 1
Mn3 Mn 0.500 0.500 0.703 1
Mn4 Mn 0.500 0.500 0.902 1
Ir1 Ir 0.500 0.500 0.500 1
```

## Properties
Space group: P4/mmm, No. 123
ΔH_f (0 K) in eV per atom: -0.418
Calculated volume in Å³/atom: 13.63

***

Entry 9:
# BaBe3Co

A geometry-optimized BaBe3Co structure (PBE-GGA, Alexandria).

```
data_BaBe3Co
_cell_length_a 4.997
_cell_length_b 4.997
_cell_length_c 4.997
_cell_angle_alpha 90.00
_cell_angle_beta 90.00
_cell_angle_gamma 90.00
_space_group_name_H-M_alt 'P 1'
_space_group_IT_number 1
loop_
_space_group_symop_operation_xyz
'x,y,z'
loop_
_atom_site_label
_atom_site_type_symbol
_atom_site_fract_x
_atom_site_fract_y
_atom_site_fract_z
_atom_site_occupancy
Ba1 Ba 0.000 0.000 0.000 1
Be1 Be 0.000 0.000 0.500 1
Be2 Be 0.000 0.500 0.000 1
Be3 Be 0.500 0.000 0.000 1
Co1 Co 0.500 0.500 0.500 1
```

## Properties
Space group: Pm-3m, No. 221
ΔH_f (0 K) in eV per atom: 2.812
Calculated volume in Å³/atom: 24.96
Offset from the most stable computed form in meV/atom: 2487

***

Entry 10:
# Cs2KMgSb2

A geometry-optimized Cs2KMgSb2 structure (PBE-GGA, Alexandria).

```
data_Cs2KMgSb2
_cell_length_a 10.300
_cell_length_b 10.300
_cell_length_c 10.300
_cell_angle_alpha 132.63
_cell_angle_beta 65.42
_cell_angle_gamma 137.62
_space_group_name_H-M_alt 'P 1'
_space_group_IT_number 1
loop_
_space_group_symop_operation_xyz
'x,y,z'
loop_
_atom_site_label
_atom_site_type_symbol
_atom_site_fract_x
_atom_site_fract_y
_atom_site_fract_z
_atom_site_occupancy
Cs1 Cs 0.174 0.239 0.413 1
Cs2 Cs 0.326 0.739 0.064 1
Cs3 Cs 0.674 0.261 0.936 1
Cs4 Cs 0.826 0.761 0.587 1
K1 K 0.250 0.750 0.500 1
K2 K 0.750 0.250 0.500 1
Mg1 Mg 0.250 0.250 0.000 1
Mg2 Mg 0.750 0.750 0.000 1
Sb1 Sb 0.094 0.803 0.897 1
Sb2 Sb 0.406 0.303 0.709 1
Sb3 Sb 0.594 0.697 0.291 1
Sb4 Sb 0.906 0.197 0.103 1
```

## Properties
Space group: Ibam, No. 72
ΔE_f (raw) in meV per atom: -423.5
Calculated volume in Å³/atom: 44.50

***

Entry 11:
# HgHS

A geometry-optimized HgHS structure (PBE-GGA, Alexandria).

```
data_HgHS
_cell_length_a 7.391
_cell_length_b 5.324
_cell_length_c 3.619
_cell_angle_alpha 90.00
_cell_angle_beta 104.83
_cell_angle_gamma 90.00
_space_group_name_H-M_alt 'P 1'
_space_group_IT_number 1
loop_
_space_group_symop_operation_xyz
'x,y,z'
loop_
_atom_site_label
_atom_site_type_symbol
_atom_site_fract_x
_atom_site_fract_y
_atom_site_fract_z
_atom_site_occupancy
Hg1 Hg 0.000 0.000 0.000 1
Hg2 Hg 0.500 0.500 0.000 1
H1 H 0.072 0.500 0.368 1
H2 H 0.572 0.000 0.368 1
S1 S 0.494 0.000 0.986 1
S2 S 0.994 0.500 0.986 1
```

## Properties
Space group: Cm, No. 8
Calculated volume in Å³/atom: 22.94
Offset from the most stable computed form in meV/atom: 116

***

Entry 12:
# LaTl3S

A geometry-optimized LaTl3S structure (PBE-GGA, Alexandria).

```
data_LaTl3S
_cell_length_a 5.483
_cell_length_b 5.483
_cell_length_c 5.483
_cell_angle_alpha 90.00
_cell_angle_beta 90.00
_cell_angle_gamma 90.00
_space_group_name_H-M_alt 'P 1'
_space_group_IT_number 1
loop_
_space_group_symop_operation_xyz
'x,y,z'
loop_
_atom_site_label
_atom_site_type_symbol
_atom_site_fract_x
_atom_site_fract_y
_atom_site_fract_z
_atom_site_occupancy
La1 La 0.000 0.000 0.000 1
Tl1 Tl 0.000 0.500 0.500 1
Tl2 Tl 0.500 0.000 0.500 1
Tl3 Tl 0.500 0.500 0.000 1
S1 S 0.500 0.500 0.500 1
```

## Properties
Space group: Pm-3m, No. 221
ΔE_f (raw) in meV per atom: 123.2
Calculated volume in Å³/atom: 32.96
Offset from the most stable computed form in meV/atom: 0

***

Entry 13:
# V7Ga2C2

A geometry-optimized V7Ga2C2 structure (PBE-GGA, Alexandria).

```
data_V7Ga2C2
_cell_length_a 5.290
_cell_length_b 5.290
_cell_length_c 5.268
_cell_angle_alpha 94.07
_cell_angle_beta 94.07
_cell_angle_gamma 74.45
_space_group_name_H-M_alt 'P 1'
_space_group_IT_number 1
loop_
_space_group_symop_operation_xyz
'x,y,z'
loop_
_atom_site_label
_atom_site_type_symbol
_atom_site_fract_x
_atom_site_fract_y
_atom_site_fract_z
_atom_site_occupancy
V1 V 0.000 0.000 0.000 1
V2 V 0.005 0.518 0.764 1
V3 V 0.482 0.995 0.236 1
V4 V 0.495 0.495 0.225 1
V5 V 0.505 0.505 0.775 1
V6 V 0.518 0.005 0.764 1
V7 V 0.995 0.482 0.236 1
Ga1 Ga 0.182 0.818 0.500 1
Ga2 Ga 0.818 0.182 0.500 1
C1 C 0.272 0.272 0.990 1
C2 C 0.728 0.728 0.010 1
```

## Properties
Space group: C2/m, No. 12
ΔH_f (0 K) in eV per atom: -0.067
Calculated volume in Å³/atom: 12.86